Entry 1:
VASP calculation (PBEsol) on a geometry-optimized MnBe2Sb structure.

Properties
spin magnetization: 3.542 Bohr magnetons per cell
formation energy without anion corrections: 0.217 eV per atom
DOS(E_F): 1.62 states/eV/cell

Unit cell a=3.575 b=3.575 c=7.636 alpha=90.00 beta=90.00 gamma=90.00
Atoms (fractional coordinates):
Mn (0.000, 0.000, 0.000)
Mn (0.500, 0.500, 0.500)
Be (0.000, 0.000, 0.500)
Be (0.000, 0.500, 0.750)
Be (0.500, 0.000, 0.250)
Be (0.500, 0.500, 0.000)
Sb (0.000, 0.500, 0.250)
Sb (0.500, 0.000, 0.750)



Entry 2:
VASP calculation (PBEsol) on a geometry-optimized Mn3BeSb structure.

Properties
spin magnetization: 10.803 Bohr magnetons per cell
formation energy without anion corrections: 1.600 eV per atom
DOS(E_F): 2.71 states/eV/cell

Unit cell a=4.828 b=4.828 c=4.828 alpha=90.00 beta=90.00 gamma=90.00
Atoms (fractional coordinates):
Mn (0.000, 0.000, 0.500)
Mn (0.000, 0.500, 0.000)
Mn (0.500, 0.000, 0.000)
Be (0.500, 0.500, 0.500)
Sb (0.000, 0.000, 0.000)



Entry 3:
VASP calculation (PBEsol) on a geometry-optimized MnBeSbSe2 structure.

Properties
spin magnetization: 5.068 Bohr magnetons per cell
formation energy without anion corrections: 0.854 eV per atom
DOS(E_F): 2.14 states/eV/cell

Unit cell a=5.380 b=5.380 c=4.433 alpha=90.00 beta=90.00 gamma=90.00
Atoms (fractional coordinates):
Mn (0.000, 0.000, 0.000)
Be (0.500, 0.500, 0.000)
Sb (0.500, 0.500, 0.500)
Se (0.000, 0.500, 0.500)
Se (0.500, 0.000, 0.500)



Entry 4:
VASP calculation (PBEsol) on a geometry-optimized ZrMnBeSb2 structure.

Properties
spin magnetization: 4.922 Bohr magnetons per cell
formation energy without anion corrections: 1.032 eV per atom
DOS(E_F): 2.95 states/eV/cell

Unit cell a=5.396 b=5.396 c=4.704 alpha=90.00 beta=90.00 gamma=90.00
Atoms (fractional coordinates):
Zr (0.000, 0.000, 0.000)
Mn (0.500, 0.500, 0.500)
Be (0.000, 0.000, 0.500)
Sb (0.000, 0.500, 0.000)
Sb (0.500, 0.000, 0.000)



Entry 5:
VASP calculation (PBEsol) on a geometry-optimized Sc2MnBe structure.

Properties
E_form: 0.086 eV/atom
spin magnetization: 3.516 Bohr magnetons per cell
DOS(E_F): 5.83 states/eV/cell

Unit cell a=9.911 b=2.952 c=4.595 alpha=90.00 beta=109.73 gamma=90.00
Atoms (fractional coordinates):
Sc (0.000, 0.000, 0.000)
Sc (0.203, 0.000, 0.645)
Sc (0.500, 0.500, 0.000)
Sc (0.703, 0.500, 0.645)
Mn (0.273, 0.500, 0.198)
Mn (0.773, 0.000, 0.198)
Be (0.449, 0.000, 0.460)
Be (0.949, 0.500, 0.460)



Entry 6:
VASP calculation (PBEsol) on a geometry-optimized ScMnBe2 structure.

Properties
E_form: 0.320 eV/atom
spin magnetization: 12.089 Bohr magnetons per cell
DOS(E_F): 25.69 states/eV/cell
energy relative to the lowest polymorph listed for this composition: 27.4 kJ/mol of atoms

Unit cell a=5.873 b=5.873 c=5.873 alpha=90.00 beta=90.00 gamma=90.00
Atoms (fractional coordinates):
Sc (0.000, 0.000, 0.000)
Sc (0.000, 0.500, 0.500)
Sc (0.500, 0.000, 0.500)
Sc (0.500, 0.500, 0.000)
Mn (0.250, 0.250, 0.250)
Mn (0.250, 0.750, 0.750)
Mn (0.750, 0.250, 0.750)
Mn (0.750, 0.750, 0.250)
Be (0.000, 0.000, 0.500)
Be (0.000, 0.500, 0.000)
Be (0.250, 0.250, 0.750)
Be (0.250, 0.750, 0.250)
Be (0.500, 0.000, 0.000)
Be (0.500, 0.500, 0.500)
Be (0.750, 0.250, 0.250)
Be (0.750, 0.750, 0.750)



Q: The highest spin magnetization belongs to which entry?
A: ScMnBe2



Q: The lowest DOS(E_F) belongs to which entry?
A: MnBe2Sb



Q: DOS(E_F) of number 6 (ScMnBe2)?
A: 25.69 states/eV/cell